{"formula": "K3PuGa2O6", "functional": "PBE", "state": "optimized geometry", "cell": [[6.137, 0.000, 0.000], [-3.068, 5.315, 0.000], [0.000, 0.000, 7.214]], "species": ["K", "K", "O", "Pu", "O", "O", "O", "Ga", "O", "K", "O", "Ga"], "frac_coords": [[0.333, 0.667, 0.709], [0.667, 0.333, 0.291], [0.835, 0.669, 0.692], [0.000, 0.000, 0.500], [0.331, 0.165, 0.692], [0.165, 0.835, 0.308], [0.835, 0.165, 0.692], [0.667, 0.333, 0.741], [0.669, 0.835, 0.308], [0.000, 0.000, 0.000], [0.165, 0.331, 0.308], [0.333, 0.667, 0.259]], "sg": "P-3m1", "vol_a3_per_cell": 235.3, "raw_formation_energy_mev_per_atom": -1869, "energy_ev_per_cell": -75.861, "dos_ef_per_ev_cell": 13.309}